Entry 1:
Material: MnSiRh2
Method: DFT, PBE
State: optimized geometry

Energy relative to the elements, uncorrected   -48.7 kJ/mol of atoms
E_tot   -0.575 Ry/atom
Size of the total moment   8.49 μB/cell

Unit cell a=5.765 b=6.394 c=2.920 alpha=90.00 beta=90.00 gamma=90.00
Space group Cmmm (No. 65)
Symmetry-distinct sites (fractional):
1 Mn 0.000 0.000 0.000 [2 per cell]
2 Si 0.000 0.500 0.000 [2 per cell]
3 Rh 0.250 0.250 0.500 [4 per cell]

***

Entry 2:
Material: ThScZnCd
Method: DFT, PBE
State: optimized geometry

E_tot   -0.310 Ry/atom
Size of the total moment   0.00 μB/cell

Unit cell a=3.427 b=3.427 c=7.911 alpha=90.00 beta=90.00 gamma=90.00
Space group P4mm (No. 99)
Symmetry-distinct sites (fractional):
1 Th 0.000 0.000 0.000 [1 per cell]
2 Sc 0.000 0.000 0.541 [1 per cell]
3 Zn 0.500 0.500 0.736 [1 per cell]
4 Cd 0.500 0.500 0.304 [1 per cell]

***

Entry 3:
Material: TlVReP2
Method: DFT, PBE
State: optimized geometry

E_tot   -0.427 Ry/atom
Size of the total moment   0.24 μB/cell

Unit cell a=4.526 b=4.526 c=5.497 alpha=90.00 beta=90.00 gamma=90.00
Space group P4/mmm (No. 123)
Symmetry-distinct sites (fractional):
1 Tl 0.000 0.000 0.000 [1 per cell]
2 V 0.500 0.500 0.000 [1 per cell]
3 Re 0.000 0.000 0.500 [1 per cell]
4 P 0.000 0.500 0.500 [2 per cell]

***

Entry 4:
Material: EuTe
Method: DFT, PBE
State: optimized geometry

Energy relative to the elements, uncorrected   -139.7 kJ/mol of atoms
E_tot   -0.599 Ry/atom
Size of the total moment   7.00 μB/cell

Unit cell a=3.990 b=3.990 c=3.990 alpha=90.00 beta=90.00 gamma=90.00
Space group Pm-3m (No. 221)
Symmetry-distinct sites (fractional):
1 Eu 0.000 0.000 0.000 [1 per cell]
2 Te 0.500 0.500 0.500 [1 per cell]

***

Entry 5:
Material: Tm12Ni6Pt
Method: DFT, PBE
State: optimized geometry

E_tot   -0.388 Ry/atom
Size of the total moment   0.00 μB/cell

Unit cell a=12.1357 b=12.1357 c=11.1767 alpha=90.00 beta=90.00 gamma=120.00
Space group R-3 (No. 148, hexagonal axes)
Symmetry-distinct sites (fractional):
1 Tm 0.0235 0.8171 0.3866 [18 per cell]
2 Tm 0.0302 0.8233 0.8778 [18 per cell]
3 Ni 0.0374 0.7777 0.6436 [18 per cell]
4 Pt 0.0000 0.0000 0.0000 [3 per cell]

***

Entry 6:
Material: PmAgGeAs
Method: DFT, PBE
State: optimized geometry

E_tot   -0.332 Ry/atom
Size of the total moment   0.00 μB/cell

Unit cell a=7.055 b=7.055 c=7.055 alpha=90.00 beta=90.00 gamma=90.00
Space group F-43m (No. 216)
Symmetry-distinct sites (fractional):
1 Pm 0.000 0.000 0.000 [4 per cell]
2 Ag 0.250 0.250 0.250 [4 per cell]
3 Ge 0.000 0.000 0.500 [4 per cell]
4 As 0.250 0.250 0.750 [4 per cell]